VASP calculation (PBE with a Hubbard U) on an optimized crystal structure of Li2AlVO4.

a = 3.9918 Å, b = 3.9918 Å, c = 5.2231 Å
α = 112.46°, β = 112.46°, γ = 90.03°
With the nearest neighbours (Å) after each atom.
Atoms (fractional coordinates):
Li 0.2500 0.7500 0.5000  4 O 2.00
Li 0.0000 0.0000 0.0000  4 O 2.02
Al 0.7500 0.2500 0.5000  6 O 1.92-2.00
V 0.5000 0.5000 0.0000  6 O 2.02-2.10
O 0.9679 0.4679 0.9358  1 Al 1.92, 2 V 2.02, 2 Li 2.02
O 0.5321 0.0321 0.0642  1 Al 1.92, 2 Li 2.02, 2 V 2.02
O 0.7386 0.7386 0.4773  2 Li 2.00, 2 Al 2.00, 1 V 2.10
O 0.2614 0.2614 0.5227  2 Al 2.00, 2 Li 2.00, 1 V 2.10

Computed properties:
Raw total energy (eV/atom): -6.7216
Total moment (μB/cell): 2.00